Record 1
Sm4As3 | PBEsol | optimized geometry

DOS(E_F) in states/eV per cell: 11.8
ΔE_f in eV per formula unit: -9.214
Space group: I-43d (220)

abc: 7.6029 7.6029 7.6029
angles: 109.47 109.47 109.47
Fractional coordinates of all 14 atoms:
Sm (0.0000, 0.3647, 0.5000)
Sm (0.0000, 0.8647, 0.5000)
Sm (0.1353, 0.1353, 0.1353)
Sm (0.3647, 0.5000, 0.0000)
Sm (0.5000, 0.0000, 0.3647)
Sm (0.5000, 0.0000, 0.8647)
Sm (0.6353, 0.6353, 0.6353)
Sm (0.8647, 0.5000, 0.0000)
As (0.1250, 0.7500, 0.8750)
As (0.2500, 0.6250, 0.3750)
As (0.3750, 0.2500, 0.6250)
As (0.6250, 0.3750, 0.2500)
As (0.7500, 0.8750, 0.1250)
As (0.8750, 0.1250, 0.7500)

Record 2
Sn3As4 | PBEsol | optimized geometry

ΔE_f in eV per formula unit: -0.036
Space group: P-43m (215)

abc: 5.7325 5.7325 5.7325
angles: 90.00 90.00 90.00
Fractional coordinates of all 7 atoms:
Sn (0.0000, 0.0000, 0.5000)
Sn (0.0000, 0.5000, 0.0000)
Sn (0.5000, 0.0000, 0.0000)
As (0.2920, 0.2920, 0.7080)
As (0.2920, 0.7080, 0.2920)
As (0.7080, 0.2920, 0.2920)
As (0.7080, 0.7080, 0.7080)

Record 3
Sr2SnAs2 | PBEsol | optimized geometry

Distance to the lowest polymorph of the same formula in kJ/mol of formula units: 0.0
DOS(E_F) in states/eV per cell: 4.6
ΔE_f in eV per formula unit: -4.173
Space group: P4/mbm (127)

abc: 7.7636 7.7636 4.4378
angles: 90.00 90.00 90.00
Fractional coordinates of all 10 atoms:
Sr (0.1778, 0.3222, 0.0000)
Sr (0.3222, 0.8222, 0.0000)
Sr (0.6778, 0.1778, 0.0000)
Sr (0.8222, 0.6778, 0.0000)
Sn (0.0000, 0.0000, 0.5000)
Sn (0.5000, 0.5000, 0.5000)
As (0.1197, 0.6197, 0.5000)
As (0.3803, 0.1197, 0.5000)
As (0.6197, 0.8803, 0.5000)
As (0.8803, 0.3803, 0.5000)

Record 4
Sr5Sn2As6 | PBEsol | optimized geometry

DOS(E_F) in states/eV per cell: 1.0
ΔE_f in eV per formula unit: -11.751
Space group: Pbam (55)

abc: 12.4451 13.9383 4.2432
angles: 90.00 90.00 90.00
Fractional coordinates of all 26 atoms:
Sr (0.0000, 0.0000, 0.0000)
Sr (0.1209, 0.2457, 0.0000)
Sr (0.1332, 0.5696, 0.0000)
Sr (0.3668, 0.0696, 0.0000)
Sr (0.3791, 0.7457, 0.0000)
Sr (0.5000, 0.5000, 0.0000)
Sr (0.6209, 0.2543, 0.0000)
Sr (0.6332, 0.9304, 0.0000)
Sr (0.8668, 0.4304, 0.0000)
Sr (0.8791, 0.7543, 0.0000)
Sn (0.2132, 0.8956, 0.5000)
Sn (0.2868, 0.3956, 0.5000)
Sn (0.7132, 0.6044, 0.5000)
Sn (0.7868, 0.1044, 0.5000)
As (0.0754, 0.4041, 0.5000)
As (0.1302, 0.8026, 0.0000)
As (0.1679, 0.0804, 0.5000)
As (0.3321, 0.5804, 0.5000)
As (0.3698, 0.3026, 0.0000)
As (0.4246, 0.9041, 0.5000)
As (0.5754, 0.0959, 0.5000)
As (0.6302, 0.6974, 0.0000)
As (0.6679, 0.4196, 0.5000)
As (0.8321, 0.9196, 0.5000)
As (0.8698, 0.1974, 0.0000)
As (0.9246, 0.5959, 0.5000)

Record 5
Sr2SnAs2 | PBEsol | optimized geometry

Distance to the lowest polymorph of the same formula in kJ/mol of formula units: 96.8
DOS(E_F) in states/eV per cell: 4.0
ΔE_f in eV per formula unit: -3.170
Space group: I4/mmm (139)

abc: 3.8477 3.8477 18.9677
angles: 90.00 90.00 90.00
Fractional coordinates of all 10 atoms:
Sr (0.0000, 0.0000, 0.1158)
Sr (0.0000, 0.0000, 0.8842)
Sr (0.5000, 0.5000, 0.3842)
Sr (0.5000, 0.5000, 0.6158)
Sn (0.0000, 0.0000, 0.5000)
Sn (0.5000, 0.5000, 0.0000)
As (0.0000, 0.5000, 0.2500)
As (0.0000, 0.5000, 0.7500)
As (0.5000, 0.0000, 0.2500)
As (0.5000, 0.0000, 0.7500)

Record 6
Sr3Sn2As4 | PBEsol | optimized geometry

ΔE_f in eV per formula unit: -7.210
Space group: P2_1/c (14)

abc: 7.6612 19.1263 7.6815
angles: 90.00 112.04 90.00
Fractional coordinates of all 36 atoms:
Sr (0.2110, 0.1823, 0.0088)
Sr (0.2110, 0.3177, 0.5088)
Sr (0.2587, 0.0598, 0.5113)
Sr (0.2587, 0.4402, 0.0113)
Sr (0.2636, 0.5627, 0.5051)
Sr (0.2636, 0.9373, 0.0051)
Sr (0.7364, 0.0627, 0.9949)
Sr (0.7364, 0.4373, 0.4949)
Sr (0.7413, 0.5598, 0.9887)
Sr (0.7413, 0.9402, 0.4887)
Sr (0.7890, 0.6823, 0.4912)
Sr (0.7890, 0.8177, 0.9912)
Sn (0.2066, 0.6221, 0.0281)
Sn (0.2066, 0.8779, 0.5281)
Sn (0.3217, 0.7442, 0.9098)
Sn (0.3217, 0.7558, 0.4098)
Sn (0.6783, 0.2442, 0.5902)
Sn (0.6783, 0.2558, 0.0902)
Sn (0.7934, 0.1221, 0.4719)
Sn (0.7934, 0.3779, 0.9719)
As (0.0068, 0.0534, 0.7620)
As (0.0068, 0.4466, 0.2620)
As (0.0190, 0.6826, 0.2205)
As (0.0190, 0.8174, 0.7205)
As (0.4701, 0.1941, 0.7704)
As (0.4701, 0.3059, 0.2704)
As (0.4881, 0.0633, 0.2444)
As (0.4881, 0.4367, 0.7444)
As (0.5119, 0.5633, 0.2556)
As (0.5119, 0.9367, 0.7556)
As (0.5299, 0.6941, 0.7296)
As (0.5299, 0.8059, 0.2296)
As (0.9810, 0.1826, 0.2795)
As (0.9810, 0.3174, 0.7795)
As (0.9932, 0.5534, 0.7380)
As (0.9932, 0.9466, 0.2380)

Record 7
TaSnAs2 | PBEsol | optimized geometry

DOS(E_F) in states/eV per cell: 14.5
ΔE_f in eV per formula unit: 1.272
Space group: I-42d (122)

abc: 6.0950 6.0950 11.9515
angles: 90.00 90.00 90.00
Fractional coordinates of all 16 atoms:
Ta (0.0000, 0.0000, 0.0000)
Ta (0.0000, 0.5000, 0.2500)
Ta (0.5000, 0.0000, 0.7500)
Ta (0.5000, 0.5000, 0.5000)
Sn (0.0000, 0.0000, 0.5000)
Sn (0.0000, 0.5000, 0.7500)
Sn (0.5000, 0.0000, 0.2500)
Sn (0.5000, 0.5000, 0.0000)
As (0.2062, 0.2500, 0.1250)
As (0.2500, 0.7062, 0.3750)
As (0.2500, 0.7938, 0.8750)
As (0.2938, 0.2500, 0.6250)
As (0.7062, 0.7500, 0.6250)
As (0.7500, 0.2062, 0.8750)
As (0.7500, 0.2938, 0.3750)
As (0.7938, 0.7500, 0.1250)

Record 8
Y2TaSnAs | PBEsol | optimized geometry

DOS(E_F) in states/eV per cell: 4.1
ΔE_f in eV per formula unit: 2.744
Space group: P4/mmm (123)

abc: 5.3085 5.3085 5.1655
angles: 90.00 90.00 90.00
Fractional coordinates of all 5 atoms:
Y (0.0000, 0.5000, 0.0000)
Y (0.5000, 0.0000, 0.0000)
Ta (0.0000, 0.0000, 0.0000)
Sn (0.0000, 0.0000, 0.5000)
As (0.5000, 0.5000, 0.5000)

Record 9
Ti2SnAs | PBEsol | optimized geometry

DOS(E_F) in states/eV per cell: 24.0
ΔE_f in eV per formula unit: -1.091
Space group: Fm-3m (225)

abc: 6.5289 6.5289 6.5289
angles: 90.00 90.00 90.00
Fractional coordinates of all 16 atoms:
Ti (0.2500, 0.2500, 0.2500)
Ti (0.2500, 0.2500, 0.7500)
Ti (0.2500, 0.7500, 0.2500)
Ti (0.2500, 0.7500, 0.7500)
Ti (0.7500, 0.2500, 0.2500)
Ti (0.7500, 0.2500, 0.7500)
Ti (0.7500, 0.7500, 0.2500)
Ti (0.7500, 0.7500, 0.7500)
Sn (0.0000, 0.0000, 0.0000)
Sn (0.0000, 0.5000, 0.5000)
Sn (0.5000, 0.0000, 0.5000)
Sn (0.5000, 0.5000, 0.0000)
As (0.0000, 0.0000, 0.5000)
As (0.0000, 0.5000, 0.0000)
As (0.5000, 0.0000, 0.0000)
As (0.5000, 0.5000, 0.5000)

Record 10
TiSnAs2 | PBEsol | optimized geometry

DOS(E_F) in states/eV per cell: 4.7
ΔE_f in eV per formula unit: -0.363
Space group: I-42d (122)

abc: 6.0191 6.0191 11.9114
angles: 90.00 90.00 90.00
Fractional coordinates of all 16 atoms:
Ti (0.0000, 0.0000, 0.0000)
Ti (0.0000, 0.5000, 0.2500)
Ti (0.5000, 0.0000, 0.7500)
Ti (0.5000, 0.5000, 0.5000)
Sn (0.0000, 0.0000, 0.5000)
Sn (0.0000, 0.5000, 0.7500)
Sn (0.5000, 0.0000, 0.2500)
Sn (0.5000, 0.5000, 0.0000)
As (0.2083, 0.2500, 0.1250)
As (0.2500, 0.7083, 0.3750)
As (0.2500, 0.7917, 0.8750)
As (0.2917, 0.2500, 0.6250)
As (0.7083, 0.7500, 0.6250)
As (0.7500, 0.2083, 0.8750)
As (0.7500, 0.2917, 0.3750)
As (0.7917, 0.7500, 0.1250)

Record 11
TlSn3As | PBEsol | optimized geometry

Distance to the lowest polymorph of the same formula in kJ/mol of formula units: 0.0
DOS(E_F) in states/eV per cell: 4.0
ΔE_f in eV per formula unit: 2.141
Space group: Pm-3m (221)

abc: 5.3382 5.3382 5.3382
angles: 90.00 90.00 90.00
Fractional coordinates of all 5 atoms:
Tl (0.0000, 0.0000, 0.0000)
Sn (0.0000, 0.5000, 0.5000)
Sn (0.5000, 0.0000, 0.5000)
Sn (0.5000, 0.5000, 0.0000)
As (0.5000, 0.5000, 0.5000)

Record 12
TlSnAs | PBEsol | optimized geometry

DOS(E_F) in states/eV per cell: 2.8
ΔE_f in eV per formula unit: -0.110
Space group: R3m (160)

abc: 3.9889 3.9889 18.3334
angles: 90.00 90.00 120.00
Fractional coordinates of all 9 atoms:
Tl (0.0000, 0.0000, 0.0000)
Tl (0.3333, 0.6667, 0.6667)
Tl (0.6667, 0.3333, 0.3333)
Sn (0.0000, 0.0000, 0.1964)
Sn (0.3333, 0.6667, 0.8631)
Sn (0.6667, 0.3333, 0.5297)
As (0.0000, 0.0000, 0.7852)
As (0.3333, 0.6667, 0.4519)
As (0.6667, 0.3333, 0.1186)

Record 13
TlSnAs2 | PBEsol | optimized geometry

DOS(E_F) in states/eV per cell: 9.6
ΔE_f in eV per formula unit: 0.870
Space group: Fm-3m (225)

abc: 7.1256 7.1256 7.1256
angles: 90.00 90.00 90.00
Fractional coordinates of all 16 atoms:
Tl (0.0000, 0.0000, 0.0000)
Tl (0.0000, 0.5000, 0.5000)
Tl (0.5000, 0.0000, 0.5000)
Tl (0.5000, 0.5000, 0.0000)
Sn (0.0000, 0.0000, 0.5000)
Sn (0.0000, 0.5000, 0.0000)
Sn (0.5000, 0.0000, 0.0000)
Sn (0.5000, 0.5000, 0.5000)
As (0.2500, 0.2500, 0.2500)
As (0.2500, 0.2500, 0.7500)
As (0.2500, 0.7500, 0.2500)
As (0.2500, 0.7500, 0.7500)
As (0.7500, 0.2500, 0.2500)
As (0.7500, 0.2500, 0.7500)
As (0.7500, 0.7500, 0.2500)
As (0.7500, 0.7500, 0.7500)

Record 14
TlSn3As | PBEsol | optimized geometry

Distance to the lowest polymorph of the same formula in kJ/mol of formula units: 236.9
DOS(E_F) in states/eV per cell: 2.3
ΔE_f in eV per formula unit: 4.597
Space group: Pm-3m (221)

abc: 5.5252 5.5252 5.5252
angles: 90.00 90.00 90.00
Fractional coordinates of all 5 atoms:
Tl (0.0000, 0.0000, 0.0000)
Sn (0.0000, 0.0000, 0.5000)
Sn (0.0000, 0.5000, 0.0000)
Sn (0.5000, 0.0000, 0.0000)
As (0.5000, 0.5000, 0.5000)

Record 15
Zn2SnAs2 | PBEsol | optimized geometry

DOS(E_F) in states/eV per cell: 2.9
ΔE_f in eV per formula unit: 0.682
Space group: I4/mmm (139)

abc: 4.2487 4.2487 10.9142
angles: 90.00 90.00 90.00
Fractional coordinates of all 10 atoms:
Zn (0.0000, 0.0000, 0.1093)
Zn (0.0000, 0.0000, 0.8907)
Zn (0.5000, 0.5000, 0.3907)
Zn (0.5000, 0.5000, 0.6093)
Sn (0.0000, 0.0000, 0.5000)
Sn (0.5000, 0.5000, 0.0000)
As (0.0000, 0.5000, 0.2500)
As (0.0000, 0.5000, 0.7500)
As (0.5000, 0.0000, 0.2500)
As (0.5000, 0.0000, 0.7500)

Record 16
ZnSn3As | PBEsol | optimized geometry

DOS(E_F) in states/eV per cell: 2.0
ΔE_f in eV per formula unit: 2.314
Space group: Pm-3m (221)

abc: 5.0766 5.0766 5.0766
angles: 90.00 90.00 90.00
Fractional coordinates of all 5 atoms:
Zn (0.0000, 0.0000, 0.0000)
Sn (0.0000, 0.0000, 0.5000)
Sn (0.0000, 0.5000, 0.0000)
Sn (0.5000, 0.0000, 0.0000)
As (0.5000, 0.5000, 0.5000)

Record 17
Zn3SnAs | PBEsol | optimized geometry

DOS(E_F) in states/eV per cell: 3.8
ΔE_f in eV per formula unit: 4.042
Space group: Pm-3m (221)

abc: 4.9964 4.9964 4.9964
angles: 90.00 90.00 90.00
Fractional coordinates of all 5 atoms:
Zn (0.0000, 0.0000, 0.5000)
Zn (0.0000, 0.5000, 0.0000)
Zn (0.5000, 0.0000, 0.0000)
Sn (0.0000, 0.0000, 0.0000)
As (0.5000, 0.5000, 0.5000)

Record 18
ZrSn3As | PBEsol | optimized geometry

DOS(E_F) in states/eV per cell: 4.7
ΔE_f in eV per formula unit: 3.642
Space group: Pm-3m (221)

abc: 5.4529 5.4529 5.4529
angles: 90.00 90.00 90.00
Fractional coordinates of all 5 atoms:
Zr (0.0000, 0.0000, 0.0000)
Sn (0.0000, 0.0000, 0.5000)
Sn (0.0000, 0.5000, 0.0000)
Sn (0.5000, 0.0000, 0.0000)
As (0.5000, 0.5000, 0.5000)

Record 19
SrAs3 | PBEsol | optimized geometry

DOS(E_F) in states/eV per cell: 3.5
ΔE_f in eV per formula unit: -0.956
Space group: P4/mmm (123)

abc: 3.8788 3.8788 5.9999
angles: 90.00 90.00 90.00
Fractional coordinates of all 4 atoms:
Sr (0.0000, 0.0000, 0.0000)
As (0.0000, 0.0000, 0.5000)
As (0.5000, 0.5000, 0.2977)
As (0.5000, 0.5000, 0.7023)

Record 20
Sr3As4 | PBEsol | optimized geometry

ΔE_f in eV per formula unit: -6.758
Space group: Fdd2 (43)

abc: 9.3684 7.9356 11.5374
angles: 53.73 43.08 83.19
Fractional coordinates of all 14 atoms:
Sr (0.0000, 0.0000, 0.0000)
Sr (0.2500, 0.2500, 0.2500)
Sr (0.3581, 0.6964, 0.3084)
Sr (0.6129, 0.9416, 0.5536)
Sr (0.6964, 0.3581, 0.6371)
Sr (0.9416, 0.6129, 0.8919)
As (0.0178, 0.5256, 0.1431)
As (0.1069, 0.9366, 0.2322)
As (0.4153, 0.5839, 0.5898)
As (0.5256, 0.0178, 0.3134)
As (0.5839, 0.4153, 0.4110)
As (0.6602, 0.8390, 0.8347)
As (0.8390, 0.6602, 0.6661)
As (0.9366, 0.1069, 0.7244)